## a
Computed, not measured: La12Sm5Er2 after structural relaxation at the PBE-GGA level of DFT.

a = 7.6505 Å, b = 11.1647 Å, c = 10.1617 Å
α = 58.66°, β = 90.00°, γ = 110.04°
Last column: nearest neighbours and their distance in Å.
Sites, in units of the cell vectors:
La 0.0034 0.0068 0.2038  1 Sm 2.97, 2 Er 3.12
La 0.0667 0.6675 0.8352  4 La 3.26-3.61
La 0.6008 0.6675 0.8352  4 La 3.26-3.61
La 0.0897 0.6812 0.4726  6 La 3.52-3.84, 4 Sm 3.66-3.90
La 0.5915 0.6812 0.4726  6 La 3.52-3.84, 4 Sm 3.66-3.90
La 0.4877 0.9755 0.6866  5 La 3.39-3.58, 2 Er 3.67
La 0.5123 0.0245 0.3134  5 La 3.39-3.58, 2 Er 3.67
La 0.9103 0.3188 0.5274  6 La 3.52-3.84, 4 Sm 3.66-3.90
La 0.4085 0.3188 0.5274  6 La 3.52-3.84, 4 Sm 3.66-3.90
La 0.9333 0.3325 0.1648  4 La 3.26-3.61
La 0.3992 0.3325 0.1648  4 La 3.26-3.61
La 0.9966 0.9932 0.7962  1 Sm 2.97, 2 Er 3.12
Sm 0.1730 0.3459 0.8188  8 La 3.54-3.87, 2 Er 3.80, 2 Sm 3.83
Sm 0.3237 0.6474 0.1591  2 Er 3.46, 4 La 3.72-3.78, 2 Sm 3.83
Sm 0.0000 0.0000 0.5000  2 La 2.97
Sm 0.6763 0.3526 0.8409  2 Er 3.46, 4 La 3.72-3.78, 2 Sm 3.83
Sm 0.8270 0.6541 0.1812  8 La 3.54-3.87, 2 Er 3.80, 2 Sm 3.83
Er 0.6992 0.0000 0.0000  1 Er 3.05, 2 La 3.12
Er 0.3008 0.0000 0.0000  1 Er 3.05, 2 La 3.12

Computed properties:
The density of states at the Fermi level comes out at 32.42 states/eV per cell. As for the symmetry: C2/m (12). The calculation puts the size of the total moment at 0.000 μB/atom.


## b
Computed, not measured: La12Sm5Er2 after structural relaxation at the PBE-GGA level of DFT.

a = 6.4355 Å, b = 9.6786 Å, c = 12.6859 Å
α = 72.33°, β = 66.95°, γ = 94.47°
Last column: nearest neighbours and their distance in Å.
Sites, in units of the cell vectors:
La 0.1073 0.9459 0.8631  1 Er 3.49, 5 La 3.53-3.71, 4 Sm 3.59-3.76
La 0.2068 0.5939 0.0304  2 Sm 3.38-3.62, 5 La 3.43-3.68, 1 Er 3.48
La 0.2118 0.0589 0.5476  4 Sm 3.55-3.73, 7 La 3.58-3.81, 1 Er 3.62
La 0.6460 0.6596 0.1102  1 Er 3.40, 5 La 3.43-3.53, 1 Sm 3.52
La 0.6589 0.1723 0.6329  6 La 3.53-3.82, 2 Er 3.54-3.92, 2 Sm 3.71-3.72
La 0.2340 0.4484 0.4045  5 La 3.45-3.82, 2 Er 3.45-3.59, 2 Sm 3.58-3.65
La 0.7660 0.5516 0.5955  5 La 3.45-3.82, 2 Er 3.45-3.59, 2 Sm 3.58-3.65
La 0.3540 0.3404 0.8898  1 Er 3.40, 5 La 3.43-3.53, 1 Sm 3.52
La 0.3411 0.8277 0.3671  6 La 3.53-3.82, 2 Er 3.54-3.92, 2 Sm 3.71-3.72
La 0.7932 0.4061 0.9696  2 Sm 3.38-3.62, 5 La 3.43-3.68, 1 Er 3.48
La 0.7882 0.9411 0.4524  4 Sm 3.55-3.73, 7 La 3.58-3.81, 1 Er 3.62
La 0.8927 0.0541 0.1369  1 Er 3.49, 5 La 3.53-3.71, 4 Sm 3.59-3.76
Sm 0.2958 0.2123 0.2226  6 La 3.38-3.73, 2 Sm 3.54-3.66
Sm 0.7530 0.3139 0.3065  2 Sm 3.54-3.66, 7 La 3.58-3.81, 1 Er 3.64
Sm 0.5000 0.0000 0.0000  6 La 3.52-3.76, 2 Sm 3.87
Sm 0.2470 0.6861 0.6935  2 Sm 3.54-3.66, 7 La 3.58-3.81, 1 Er 3.64
Sm 0.7042 0.7877 0.7774  6 La 3.38-3.73, 2 Sm 3.54-3.66
Er 0.0758 0.3067 0.7166  7 La 3.40-3.62, 1 Sm 3.64
Er 0.9242 0.6933 0.2834  7 La 3.40-3.62, 1 Sm 3.64

Computed properties:
The density of states at the Fermi level comes out at 29.46 states/eV per cell. As for the symmetry: P-1 (2). The calculation puts the size of the total moment at 0.000 μB/atom.


Ordering by calculated energy gives the sequence b, a, with the first entry being the most stable.


## a
Computed, not measured: La2Sm8Er after structural relaxation at the PBE-GGA level of DFT.

a = 5.1538 Å, b = 8.1394 Å, c = 9.6308 Å
α = 104.70°, β = 105.52°, γ = 90.00°
Last column: nearest neighbours and their distance in Å.
Sites, in units of the cell vectors:
La 0.2267 0.6368 0.4535  10 Sm 3.64-3.69, 2 La 3.65
La 0.7733 0.3632 0.5465  10 Sm 3.64-3.69, 2 La 3.65
Sm 0.5893 0.4514 0.1787  8 Sm 3.61-3.67, 1 Er 3.61, 3 La 3.66-3.67
Sm 0.3196 0.0924 0.6391  1 Er 3.62, 8 Sm 3.62-3.68, 3 La 3.64-3.65
Sm 0.1347 0.1763 0.2694  7 Sm 3.59-3.67, 2 Er 3.61, 3 La 3.67-3.69
Sm 0.0441 0.7287 0.0881  9 Sm 3.59-3.67, 2 Er 3.62, 1 La 3.66
Sm 0.8653 0.8237 0.7306  7 Sm 3.59-3.67, 2 Er 3.61, 3 La 3.67-3.69
Sm 0.6804 0.9076 0.3609  1 Er 3.62, 8 Sm 3.62-3.68, 3 La 3.64-3.65
Sm 0.4107 0.5486 0.8213  8 Sm 3.61-3.67, 1 Er 3.61, 3 La 3.66-3.67
Sm 0.9559 0.2713 0.9119  9 Sm 3.59-3.67, 2 Er 3.62, 1 La 3.66
Er 0.5000 0.0000 0.0000  12 Sm 3.61-3.62

Computed properties:
The density of states at the Fermi level comes out at 17.77 states/eV per cell. As for the symmetry: C2/m (12). The calculation puts the size of the total moment at 0.000 μB/atom.


## b
Computed, not measured: La2Sm8Er after structural relaxation at the PBE-GGA level of DFT.

a = 6.8383 Å, b = 10.3287 Å, c = 10.3287 Å
α = 38.55°, β = 59.42°, γ = 59.42°
Last column: nearest neighbours and their distance in Å.
Sites, in units of the cell vectors:
La 0.4092 0.1965 0.1965  7 Sm 3.41-3.75, 1 Er 3.78
La 0.5908 0.8035 0.8035  7 Sm 3.41-3.75, 1 Er 3.78
Sm 0.7706 0.1762 0.6499  5 Sm 3.23-3.59, 1 Er 3.38, 1 La 3.48
Sm 0.2294 0.3501 0.8238  5 Sm 3.23-3.59, 1 Er 3.38, 1 La 3.48
Sm 0.8230 0.2431 0.2431  5 Sm 3.33-3.53, 4 La 3.41-3.68
Sm 0.1770 0.7569 0.7569  5 Sm 3.33-3.53, 4 La 3.41-3.68
Sm 0.7706 0.6499 0.1762  5 Sm 3.23-3.59, 1 Er 3.38, 1 La 3.48
Sm 0.2294 0.8238 0.3501  5 Sm 3.23-3.59, 1 Er 3.38, 1 La 3.48
Sm 0.2661 0.4113 0.4113  6 Sm 3.41-3.74, 1 La 3.75, 2 Er 3.81
Sm 0.7339 0.5887 0.5887  6 Sm 3.41-3.74, 1 La 3.75, 2 Er 3.81
Er 0.0000 0.0000 0.0000  4 Sm 3.38, 2 La 3.78

Computed properties:
The density of states at the Fermi level comes out at 17.60 states/eV per cell. As for the symmetry: C2/m (12). The calculation puts the size of the total moment at 0.000 μB/atom.


Ordering by calculated energy gives the sequence a, b, with the first entry being the most stable.


## a
Computed, not measured: La6Sm4Er after structural relaxation at the PBE-GGA level of DFT.

a = 7.0067 Å, b = 7.0067 Å, c = 9.5184 Å
α = 111.60°, β = 111.60°, γ = 90.00°
Last column: nearest neighbours and their distance in Å.
Sites, in units of the cell vectors:
La 0.8722 0.4914 0.3636  3 Sm 3.47-3.72, 1 Er 3.51, 1 La 3.77
La 0.4914 0.8722 0.3636  3 Sm 3.47-3.72, 1 Er 3.51, 1 La 3.77
La 0.5086 0.5086 0.6364  3 Sm 3.47-3.72, 1 Er 3.51, 1 La 3.77
La 0.0000 0.5000 0.0000  4 Sm 3.11
La 0.1278 0.1278 0.6364  3 Sm 3.47-3.72, 1 Er 3.51, 1 La 3.77
La 0.5000 0.0000 0.0000  4 Sm 3.11
Sm 0.0661 0.7241 0.7902  3 La 3.11-3.47, 1 Sm 3.39
Sm 0.9339 0.9339 0.2098  3 La 3.11-3.47, 1 Sm 3.39
Sm 0.7241 0.0661 0.7902  3 La 3.11-3.47, 1 Sm 3.39
Sm 0.2759 0.2759 0.2098  3 La 3.11-3.47, 1 Sm 3.39
Er 0.5000 0.5000 0.0000  8 La 3.50-3.51, 4 Sm 3.68

Computed properties:
The density of states at the Fermi level comes out at 17.74 states/eV per cell. As for the symmetry: I-42m (121). The calculation puts the size of the total moment at 0.000 μB/atom.


## b
Computed, not measured: La6Sm4Er after structural relaxation at the PBE-GGA level of DFT.

a = 6.0029 Å, b = 5.7767 Å, c = 26.2576 Å
α = 90.00°, β = 90.00°, γ = 121.30°
Last column: nearest neighbours and their distance in Å.
Sites, in units of the cell vectors:
La 0.5000 0.0000 0.0000  8 Sm 3.31-3.67
La 0.5000 0.0000 0.5000  8 Sm 3.31-3.67
La 0.1158 0.2316 0.3166  5 La 3.50-3.88, 4 Sm 3.62-3.76, 3 Er 3.74-3.84
La 0.8842 0.7684 0.6834  5 La 3.50-3.88, 4 Sm 3.62-3.76, 3 Er 3.74-3.84
La 0.8842 0.7684 0.8166  5 La 3.50-3.88, 4 Sm 3.62-3.76, 3 Er 3.74-3.84
La 0.1158 0.2316 0.1834  5 La 3.50-3.88, 4 Sm 3.62-3.76, 3 Er 3.74-3.84
La 0.7939 0.5879 0.3971  6 Sm 3.41-3.82, 1 La 3.82
La 0.2061 0.4121 0.6029  6 Sm 3.41-3.82, 1 La 3.82
La 0.2061 0.4121 0.8971  6 Sm 3.41-3.82, 1 La 3.82
La 0.7939 0.5879 0.1029  6 Sm 3.41-3.82, 1 La 3.82
La 0.4400 0.8799 0.2500  2 Sm 3.30, 3 Er 3.37-3.39, 2 La 3.65
La 0.5600 0.1201 0.7500  2 Sm 3.30, 3 Er 3.37-3.39, 2 La 3.65
Sm 0.8519 0.7038 0.5447  8 La 3.54-3.92, 2 Sm 3.62-3.75
Sm 0.4478 0.8957 0.1245  6 La 3.30-3.62, 1 Sm 3.62
Sm 0.1481 0.2962 0.4553  8 La 3.54-3.92, 2 Sm 3.62-3.75
Sm 0.5522 0.1043 0.8755  6 La 3.30-3.62, 1 Sm 3.62
Sm 0.8519 0.7038 0.9553  8 La 3.54-3.92, 2 Sm 3.62-3.75
Sm 0.1481 0.2962 0.0447  8 La 3.54-3.92, 2 Sm 3.62-3.75
Sm 0.5522 0.1043 0.6245  6 La 3.30-3.62, 1 Sm 3.62
Sm 0.4478 0.8957 0.3755  6 La 3.30-3.62, 1 Sm 3.62
Er 0.7813 0.5625 0.2500  5 La 3.37-3.74
Er 0.2187 0.4375 0.7500  5 La 3.37-3.74

Computed properties:
The density of states at the Fermi level comes out at 35.28 states/eV per cell. As for the symmetry: Cmcm (63). The calculation puts the size of the total moment at 0.001 μB/atom.


Ordering by calculated energy gives the sequence b, a, with the first entry being the most stable.